# 1
Computed, not measured: a geometry-optimized PmZrAgBi structure at the PBE level of DFT.

```
data_PmZrAgBi
_cell_length_a 7.379
_cell_length_b 7.379
_cell_length_c 7.379
_cell_angle_alpha 90.00
_cell_angle_beta 90.00
_cell_angle_gamma 90.00
_symmetry_space_group_name_H-M 'F -4 3 m'
_symmetry_Int_Tables_number 216
_symmetry_space_group_name_Hall 'F -4 2 3'
loop_
_atom_site_label
_atom_site_type_symbol
_atom_site_fract_x
_atom_site_fract_y
_atom_site_fract_z
Pm1 Pm 0.000 0.000 0.000
Zr1 Zr 0.000 0.000 0.500
Ag1 Ag 0.250 0.250 0.750
Bi1 Bi 0.250 0.250 0.250
```

E_tot = -5.22 eV/atom
Formation enthalpy at 0 K = -0.214 eV per atom

***

# 2
Computed, not measured: a geometry-optimized Cd2AgGeSe4 structure at the PBE level of DFT.

```
data_Cd2AgGeSe4
_cell_length_a 6.177
_cell_length_b 6.177
_cell_length_c 12.069
_cell_angle_alpha 90.00
_cell_angle_beta 90.00
_cell_angle_gamma 90.00
_symmetry_space_group_name_H-M 'I -4 2 m'
_symmetry_Int_Tables_number 121
_symmetry_space_group_name_Hall 'I -4 2'
loop_
_atom_site_label
_atom_site_type_symbol
_atom_site_fract_x
_atom_site_fract_y
_atom_site_fract_z
Cd1 Cd 0.000 0.500 0.250
Ag1 Ag 0.000 0.000 0.000
Ge1 Ge 0.000 0.000 0.500
Se1 Se 0.242 0.242 0.381
```

E_tot = -3.27 eV/atom
Formation energy (no corrections) = -2.89 eV/f.u.

***

# 3
Computed, not measured: a geometry-optimized Tm4HPb structure at the PBE level of DFT.

```
data_Tm4HPb
_cell_length_a 7.589
_cell_length_b 15.966
_cell_length_c 5.780
_cell_angle_alpha 90.00
_cell_angle_beta 121.55
_cell_angle_gamma 90.00
_symmetry_space_group_name_H-M 'C 1 2/c 1'
_symmetry_Int_Tables_number 15
_symmetry_space_group_name_Hall '-C 2yc'
loop_
_atom_site_label
_atom_site_type_symbol
_atom_site_fract_x
_atom_site_fract_y
_atom_site_fract_z
Tm1 Tm 0.162 0.223 0.165
Tm2 Tm 0.207 0.069 0.612
H1 H 0.000 0.009 0.750
Pb1 Pb 0.000 0.405 0.750
```

E_tot = -4.37 eV/atom

***

# 4
Computed, not measured: a geometry-optimized AcPrDy2 structure at the PBE level of DFT.

```
data_AcPrDy2
_cell_length_a 8.318
_cell_length_b 8.318
_cell_length_c 8.318
_cell_angle_alpha 90.00
_cell_angle_beta 90.00
_cell_angle_gamma 90.00
_symmetry_space_group_name_H-M 'F m -3 m'
_symmetry_Int_Tables_number 225
_symmetry_space_group_name_Hall '-F 4 2 3'
loop_
_atom_site_label
_atom_site_type_symbol
_atom_site_fract_x
_atom_site_fract_y
_atom_site_fract_z
Ac1 Ac 0.000 0.000 0.000
Pr1 Pr 0.000 0.000 0.500
Dy1 Dy 0.250 0.250 0.250
```

Energy above the lowest structure with this stoichiometry = 71 meV/atom
E_tot = -4.41 eV/atom
Formation enthalpy at 0 K = 0.112 eV per atom

***

# 5
Computed, not measured: a geometry-optimized NdEr2Tl3Te6 structure at the PBE level of DFT.

```
data_NdEr2Tl3Te6
_cell_length_a 7.752
_cell_length_b 13.419
_cell_length_c 8.583
_cell_angle_alpha 90.00
_cell_angle_beta 107.53
_cell_angle_gamma 90.00
_symmetry_space_group_name_H-M 'C 1 2/m 1'
_symmetry_Int_Tables_number 12
_symmetry_space_group_name_Hall '-C 2y'
loop_
_atom_site_label
_atom_site_type_symbol
_atom_site_fract_x
_atom_site_fract_y
_atom_site_fract_z
Nd1 Nd 0.000 0.000 0.000
Er1 Er 0.000 0.333 0.000
Tl1 Tl 0.000 0.164 0.500
Tl2 Tl 0.000 0.500 0.500
Te1 Te 0.228 0.500 0.212
Te2 Te 0.243 0.171 0.215
```

E_tot = -4.37 eV/atom
Formation energy (no corrections) = -12.58 eV/f.u.

***

# 6
Computed, not measured: a geometry-optimized Tb3Ga7Ru2 structure at the PBE level of DFT.

```
data_Tb3Ga7Ru2
_cell_length_a 4.600
_cell_length_b 4.600
_cell_length_c 24.201
_cell_angle_alpha 90.00
_cell_angle_beta 90.00
_cell_angle_gamma 90.00
_symmetry_space_group_name_H-M 'I 4/m m m'
_symmetry_Int_Tables_number 139
_symmetry_space_group_name_Hall '-I 4 2'
loop_
_atom_site_label
_atom_site_type_symbol
_atom_site_fract_x
_atom_site_fract_y
_atom_site_fract_z
Tb1 Tb 0.000 0.000 0.000
Tb2 Tb 0.000 0.000 0.169
Ga1 Ga 0.000 0.000 0.289
Ga2 Ga 0.000 0.000 0.500
Ga3 Ga 0.000 0.500 0.083
Ru1 Ru 0.000 0.000 0.388
```

E_tot = -4.81 eV/atom
Formation enthalpy at 0 K = -0.338 eV per atom

***

# 7
Computed, not measured: a geometry-optimized HfNi4Pt structure at the PBE level of DFT.

```
data_HfNi4Pt
_cell_length_a 6.768
_cell_length_b 6.768
_cell_length_c 6.768
_cell_angle_alpha 90.00
_cell_angle_beta 90.00
_cell_angle_gamma 90.00
_symmetry_space_group_name_H-M 'F -4 3 m'
_symmetry_Int_Tables_number 216
_symmetry_space_group_name_Hall 'F -4 2 3'
loop_
_atom_site_label
_atom_site_type_symbol
_atom_site_fract_x
_atom_site_fract_y
_atom_site_fract_z
Hf1 Hf 0.000 0.000 0.000
Ni1 Ni 0.124 0.124 0.376
Pt1 Pt 0.250 0.250 0.750
```

E_tot = -7.04 eV/atom
Formation enthalpy at 0 K = -0.519 eV per atom

***

# 8
Computed, not measured: a geometry-optimized NiAgI2 structure at the PBE level of DFT.

```
data_NiAgI2
_cell_length_a 6.334
_cell_length_b 6.334
_cell_length_c 12.195
_cell_angle_alpha 90.00
_cell_angle_beta 90.00
_cell_angle_gamma 90.00
_symmetry_space_group_name_H-M 'I -4 2 d'
_symmetry_Int_Tables_number 122
_symmetry_space_group_name_Hall 'I -4 2bw'
loop_
_atom_site_label
_atom_site_type_symbol
_atom_site_fract_x
_atom_site_fract_y
_atom_site_fract_z
Ni1 Ni 0.000 0.000 0.000
Ag1 Ag 0.000 0.000 0.500
I1 I 0.209 0.250 0.125
```

Energy above the lowest structure with this stoichiometry = 0 meV/atom
E_tot = -2.94 eV/atom
Formation energy (no corrections) = -0.03 eV/f.u.

***

# 9
Computed, not measured: a geometry-optimized InSiSe2 structure at the PBE level of DFT.

```
data_InSiSe2
_cell_length_a 3.391
_cell_length_b 5.970
_cell_length_c 9.973
_cell_angle_alpha 90.00
_cell_angle_beta 90.00
_cell_angle_gamma 90.00
_symmetry_space_group_name_H-M 'I m m m'
_symmetry_Int_Tables_number 71
_symmetry_space_group_name_Hall '-I 2 2'
loop_
_atom_site_label
_atom_site_type_symbol
_atom_site_fract_x
_atom_site_fract_y
_atom_site_fract_z
In1 In 0.000 0.000 0.000
Si1 Si 0.000 0.000 0.500
Se1 Se 0.000 0.500 0.169
```

E_tot = -3.82 eV/atom
Formation energy (no corrections) = -0.17 eV/f.u.

***

# 10
Computed, not measured: a geometry-optimized HfTl2Cl2 structure at the PBE level of DFT.

```
data_HfTl2Cl2
_cell_length_a 3.866
_cell_length_b 3.866
_cell_length_c 21.338
_cell_angle_alpha 90.00
_cell_angle_beta 90.00
_cell_angle_gamma 90.00
_symmetry_space_group_name_H-M 'I 4/m m m'
_symmetry_Int_Tables_number 139
_symmetry_space_group_name_Hall '-I 4 2'
loop_
_atom_site_label
_atom_site_type_symbol
_atom_site_fract_x
_atom_site_fract_y
_atom_site_fract_z
Hf1 Hf 0.000 0.000 0.000
Tl1 Tl 0.000 0.500 0.250
Cl1 Cl 0.000 0.000 0.431
```

Energy above the lowest structure with this stoichiometry = 620 meV/atom
E_tot = -3.49 eV/atom
Formation energy (no corrections) = 0.91 eV/f.u.

***

# 11
Computed, not measured: a geometry-optimized ScSiMo2 structure at the PBE level of DFT.

```
data_ScSiMo2
_cell_length_a 3.338
_cell_length_b 3.338
_cell_length_c 5.961
_cell_angle_alpha 90.00
_cell_angle_beta 90.00
_cell_angle_gamma 90.00
_symmetry_space_group_name_H-M 'P 4/m m m'
_symmetry_Int_Tables_number 123
_symmetry_space_group_name_Hall '-P 4 2'
loop_
_atom_site_label
_atom_site_type_symbol
_atom_site_fract_x
_atom_site_fract_y
_atom_site_fract_z
Sc1 Sc 0.000 0.000 0.000
Si1 Si 0.000 0.000 0.500
Mo1 Mo 0.500 0.500 0.299
```

E_tot = -8.56 eV/atom
Formation energy (no corrections) = -0.81 eV/f.u.

***

# 12
Computed, not measured: a geometry-optimized CdP2W structure at the PBE level of DFT.

```
data_CdP2W
_cell_length_a 6.335
_cell_length_b 6.335
_cell_length_c 6.335
_cell_angle_alpha 90.00
_cell_angle_beta 90.00
_cell_angle_gamma 90.00
_symmetry_space_group_name_H-M 'F m -3 m'
_symmetry_Int_Tables_number 225
_symmetry_space_group_name_Hall '-F 4 2 3'
loop_
_atom_site_label
_atom_site_type_symbol
_atom_site_fract_x
_atom_site_fract_y
_atom_site_fract_z
Cd1 Cd 0.000 0.000 0.000
P1 P 0.250 0.250 0.250
W1 W 0.000 0.000 0.500
```

Energy above the lowest structure with this stoichiometry = 582 meV/atom
E_tot = -5.61 eV/atom
Formation enthalpy at 0 K = 0.557 eV per atom

***

Across the entries above, M_tot takes the values 0.49, 0.00, 0.00, 0.00, 0.00, 0.00, 0.99, 1.00, 0.00, 0.46, 0.00, 0.00 μB/f.u., respectively.